First-principles (GGA-PBE) data for an optimized crystal structure of Na4Cd2Hg, as listed in the Alexandria database.

abc: 6.3946 7.7871 9.4571
angles: 74.68 71.64 66.22
Last column: nearest neighbours and their distance in Å.
Positions (direct):
Na  0.7859  0.0954  0.8997  2 Hg 3.12-3.20, 2 Na 3.22-3.25, 4 Cd 3.23-3.48
Na  0.7859  0.6545  0.3501  2 Hg 3.12-3.21, 2 Na 3.22-3.25, 4 Cd 3.23-3.47
Na  0.2820  0.1493  0.8562  3 Na 3.22-3.60, 4 Cd 3.22-3.49, 2 Hg 3.24
Na  0.8342  0.1390  0.2542  2 Cd 3.21-3.56, 2 Hg 3.24-3.31, 1 Na 3.58
Na  0.3154  0.6419  0.7571  1 Hg 3.16, 2 Cd 3.31-3.35
Na  0.2890  0.6016  0.3939  3 Na 3.22-3.59, 4 Cd 3.22-3.49, 2 Hg 3.23-3.24
Na  0.7380  0.6105  0.9960  2 Cd 3.21-3.55, 2 Hg 3.24-3.31, 1 Na 3.57
Na  0.2566  0.1085  0.4924  1 Hg 3.16, 3 Cd 3.31-3.53
Cd  0.9035  0.4669  0.6768  2 Cd 2.89-2.95, 3 Na 3.21-3.23
Cd  0.6673  0.2829  0.5730  2 Cd 2.90-2.95, 3 Na 3.21-3.23
Cd  0.2854  0.3750  0.1255  2 Hg 2.92
Cd  0.7849  0.8749  0.6255  2 Cd 2.89-2.90
Hg  0.4160  0.9624  0.1800  1 Cd 2.92, 1 Hg 3.06, 6 Na 3.12-3.24
Hg  0.1558  0.7874  0.0697  1 Cd 2.92, 1 Hg 3.06, 6 Na 3.12-3.24

Values from the calculation:
SG = P1
Total magnetic moment = 0.0 μB per cell
Electronic total energy = -1.18 eV per atom
Formation energy = -118.5 meV/atom
DOS at the Fermi energy = 5.53 states/eV per cell